## La2CeRh (PBE)

Data for crystalline La2CeRh at its relaxed geometry.

Properties
- size of the total moment (μB per formula unit) = 2.1
- formation energy from the elements (eV/atom) = -0.24

a b c (Å): 3.9757 3.9757 9.8052
angles (deg): 78.30 78.30 60.00
Fractional positions:
La1 0.2740 0.2740 0.1780
La2 0.0595 0.0595 0.8215
Ce1 0.5005 0.5005 0.4985
Rh1 0.6660 0.6660 0.0020